Computed, not measured: a relaxed Cu2TcNiP crystal at the GGA-PBE level of DFT.

Values from the calculation:
Formation enthalpy at 0 K: 0.61 eV per atom
Calculated total energy: -5.342 eV/atom

abc: 4.2621 4.2621 4.1420
angles: 90.00 90.00 90.00
Element x y z (fractional)
Cu1 0.0000 0.5000 0.0000
Cu2 0.5000 0.0000 0.0000
Tc1 0.0000 0.0000 0.5000
Ni1 0.5000 0.5000 0.5000
P1 0.5000 0.5000 0.0000

=====

Computed, not measured: a relaxed MnIn2RhC crystal at the GGA-PBE level of DFT.

Values from the calculation:
Formation enthalpy at 0 K: 0.83 eV per atom
Calculated total energy: -5.415 eV/atom

abc: 5.0406 5.0406 3.5906
angles: 90.00 90.00 90.00
Element x y z (fractional)
Mn1 0.0000 0.0000 0.0000
In1 0.0000 0.5000 0.0000
In2 0.5000 0.0000 0.0000
Rh1 0.5000 0.5000 0.5000
C1 0.0000 0.0000 0.5000

=====

Computed, not measured: a relaxed LiTaN2O crystal at the GGA-PBE level of DFT.

Values from the calculation:
E_form (uncorrected): -0.671 eV/atom
Calculated total energy: -7.746 eV/atom

abc: 4.0802 4.0802 3.9941
angles: 90.00 90.00 90.00
Element x y z (fractional)
Li1 0.0000 0.0000 0.0000
Ta1 0.5000 0.5000 0.5000
N1 0.0000 0.5000 0.5000
N2 0.5000 0.0000 0.5000
O1 0.5000 0.5000 0.0000

=====

Computed, not measured: a relaxed Pm5Te8Au crystal at the GGA-PBE level of DFT.

Values from the calculation:
E_form (uncorrected): -1.228 eV/atom
Calculated total energy: -4.954 eV/atom

abc: 8.2197 8.2197 8.2197
angles: 110.40 110.40 107.62
Element x y z (fractional)
Pm1 0.0000 0.0000 0.0000
Pm2 0.1376 0.2601 0.6239
Pm3 0.4862 0.8624 0.1225
Pm4 0.6362 0.5138 0.3761
Pm5 0.7399 0.3638 0.8775
Te1 0.0090 0.6121 0.7624
Te2 0.2289 0.4830 0.1278
Te3 0.3551 0.1011 0.8722
Te4 0.3879 0.1503 0.3969
Te5 0.5170 0.6449 0.7459
Te6 0.7534 0.9910 0.6031
Te7 0.8497 0.2466 0.2376
Te8 0.8989 0.7711 0.2541
Au1 0.2500 0.7500 0.5000

=====

Computed, not measured: a relaxed Na2SnTe crystal at the GGA-PBE level of DFT.

Values from the calculation:
Excess energy over the best structure of this formula in the dataset: 0.00 eV/f.u.
E_form (uncorrected): -0.286 eV/atom
Calculated total energy: -2.732 eV/atom

abc: 5.3987 5.3987 5.3987
angles: 60.00 60.00 60.00
Element x y z (fractional)
Na1 0.2500 0.2500 0.2500
Na2 0.7500 0.7500 0.7500
Sn1 0.0000 0.0000 0.0000
Te1 0.5000 0.5000 0.5000